Here is a geometry-optimized BaCl structure from the Alexandria database. Energies are from GGA-PBE.

Cell lengths 3.9490, 3.9490, 3.9490 Å; angles 90.00, 90.00, 90.00 degrees
Last column: nearest neighbours and their distance in Å.
Positions (direct):
1 Ba 0.0000 0.0000 0.0000  8 Cl 3.42
2 Cl 0.5000 0.5000 0.5000  8 Ba 3.42

Properties
crystal system: cubic
mass density: 4659 kg/m³
VASP energy: -3.41 eV/atom
E_form (uncorrected): -1528 meV/atom